No. 1
A plane-wave DFT calculation with PBE was carried out for a relaxed structure of NaTb3Sm2S6.

The structure in CIF format:
```
data_NaTb3Sm2S6
_cell_length_a 3.955
_cell_length_b 7.978
_cell_length_c 8.895
_cell_angle_alpha 103.07
_cell_angle_beta 102.85
_cell_angle_gamma 90.00
_symmetry_space_group_name_H-M 'P 1'
_symmetry_Int_Tables_number 1
_symmetry_space_group_name_Hall 'P 1'
loop_
_atom_site_label
_atom_site_fract_x
_atom_site_fract_y
_atom_site_fract_z
_atom_site_occupancy
S1 0.000 0.255 0.999 1
S2 0.337 0.412 0.674 1
S3 0.663 0.588 0.326 1
S4 0.669 0.078 0.337 1
S5 0.331 0.922 0.663 1
S6 0.000 0.745 0.001 1
Tb1 0.500 0.500 0.000 1
Tb2 0.165 0.827 0.330 1
Tb3 0.835 0.173 0.670 1
Sm1 0.169 0.341 0.338 1
Sm2 0.831 0.659 0.662 1
Na1 0.500 0.000 0.000 1
```

Calculated values
Space-group type = C2/m
Crystal system = monoclinic

=====

No. 2
A plane-wave DFT calculation with PBE was carried out for a relaxed structure of Na3Tb2SmS6.

The structure in CIF format:
```
data_Na3Tb2SmS6
_cell_length_a 6.979
_cell_length_b 6.979
_cell_length_c 7.079
_cell_angle_alpha 99.45
_cell_angle_beta 99.45
_cell_angle_gamma 120.00
_symmetry_space_group_name_H-M 'P 1'
_symmetry_Int_Tables_number 1
_symmetry_space_group_name_Hall 'P 1'
loop_
_atom_site_label
_atom_site_fract_x
_atom_site_fract_y
_atom_site_fract_z
_atom_site_occupancy
S1 0.739 0.739 0.229 1
S2 0.261 0.261 0.771 1
S3 0.414 0.076 0.229 1
S4 0.924 0.586 0.771 1
S5 0.076 0.414 0.229 1
S6 0.586 0.924 0.771 1
Sm1 0.000 0.000 0.000 1
Na1 0.833 0.167 0.500 1
Na2 0.500 0.500 0.500 1
Na3 0.167 0.833 0.500 1
Tb1 0.333 0.667 0.000 1
Tb2 0.667 0.333 0.000 1
```

Calculated values
Space-group type = C2/m
Crystal system = monoclinic

=====

No. 3
A plane-wave DFT calculation with PBE was carried out for a relaxed structure of NaTbSm4S8.

The structure in CIF format:
```
data_NaTbSm4S8
_cell_length_a 8.269
_cell_length_b 8.269
_cell_length_c 8.225
_cell_angle_alpha 59.82
_cell_angle_beta 59.82
_cell_angle_gamma 60.00
_symmetry_space_group_name_H-M 'P 1'
_symmetry_Int_Tables_number 1
_symmetry_space_group_name_Hall 'P 1'
loop_
_atom_site_label
_atom_site_fract_x
_atom_site_fract_y
_atom_site_fract_z
_atom_site_occupancy
S1 0.761 0.224 0.254 1
S2 0.237 0.237 0.743 1
S3 0.224 0.761 0.254 1
S4 0.783 0.237 0.743 1
S5 0.758 0.758 0.726 1
S6 0.761 0.761 0.254 1
S7 0.240 0.240 0.281 1
S8 0.237 0.783 0.743 1
Na1 0.376 0.376 0.873 1
Sm1 0.624 0.624 0.127 1
Sm2 0.004 0.004 0.504 1
Sm3 0.004 0.487 0.504 1
Sm4 0.487 0.004 0.504 1
Tb1 0.004 0.004 0.987 1
```

Calculated values
Space-group type = R3m
Crystal system = trigonal

=====

No. 4
A plane-wave DFT calculation with PBE was carried out for a relaxed structure of Na3TbSm2S6.

The structure in CIF format:
```
data_Na3TbSm2S6
_cell_length_a 7.020
_cell_length_b 7.020
_cell_length_c 7.088
_cell_angle_alpha 99.50
_cell_angle_beta 99.50
_cell_angle_gamma 120.00
_symmetry_space_group_name_H-M 'P 1'
_symmetry_Int_Tables_number 1
_symmetry_space_group_name_Hall 'P 1'
loop_
_atom_site_label
_atom_site_fract_x
_atom_site_fract_y
_atom_site_fract_z
_atom_site_occupancy
Sm1 0.333 0.667 0.000 1
Sm2 0.667 0.333 0.000 1
Na1 0.167 0.833 0.500 1
Na2 0.500 0.500 0.500 1
Na3 0.833 0.167 0.500 1
S1 0.253 0.253 0.771 1
S2 0.747 0.747 0.229 1
S3 0.077 0.406 0.230 1
S4 0.594 0.923 0.770 1
S5 0.406 0.077 0.230 1
S6 0.923 0.594 0.770 1
Tb1 0.000 0.000 0.000 1
```

Calculated values
Space-group type = C2/m
Crystal system = monoclinic

=====

No. 5
A plane-wave DFT calculation with PBE was carried out for a relaxed structure of Na2SmTeS4.

The structure in CIF format:
```
data_Na2SmTeS4
_cell_length_a 8.009
_cell_length_b 8.009
_cell_length_c 8.093
_cell_angle_alpha 117.77
_cell_angle_beta 117.77
_cell_angle_gamma 89.38
_symmetry_space_group_name_H-M 'P 1'
_symmetry_Int_Tables_number 1
_symmetry_space_group_name_Hall 'P 1'
loop_
_atom_site_label
_atom_site_fract_x
_atom_site_fract_y
_atom_site_fract_z
_atom_site_occupancy
Na1 0.500 0.000 0.000 1
Na2 0.500 0.000 0.500 1
Na3 0.000 0.000 0.500 1
Na4 0.500 0.500 0.000 1
Te1 0.500 0.500 0.500 1
Te2 0.000 0.000 0.000 1
Sm1 0.000 0.500 0.500 1
Sm2 0.000 0.500 0.000 1
S1 0.721 0.715 0.474 1
S2 0.240 0.719 0.466 1
S3 0.785 0.779 0.026 1
S4 0.219 0.740 0.966 1
S5 0.760 0.281 0.534 1
S6 0.781 0.260 0.034 1
S7 0.279 0.285 0.526 1
S8 0.215 0.221 0.974 1
```

Calculated values
Space-group type = C2/c
Crystal system = monoclinic

=====

No. 6
A plane-wave DFT calculation with PBE was carried out for a relaxed structure of Na3Sm3TeS8.

The structure in CIF format:
```
data_Na3Sm3TeS8
_cell_length_a 8.097
_cell_length_b 8.096
_cell_length_c 8.191
_cell_angle_alpha 119.64
_cell_angle_beta 90.00
_cell_angle_gamma 120.00
_symmetry_space_group_name_H-M 'P 1'
_symmetry_Int_Tables_number 1
_symmetry_space_group_name_Hall 'P 1'
loop_
_atom_site_label
_atom_site_fract_x
_atom_site_fract_y
_atom_site_fract_z
_atom_site_occupancy
S1 0.743 0.486 0.730 1
S2 0.756 0.990 0.723 1
S3 0.767 0.010 0.277 1
S4 0.244 0.010 0.277 1
S5 0.767 0.533 0.277 1
S6 0.233 0.990 0.723 1
S7 0.233 0.467 0.723 1
S8 0.257 0.514 0.270 1
Na1 0.000 0.500 0.000 1
Na2 0.500 0.500 0.000 1
Na3 0.000 0.000 0.000 1
Sm1 0.500 0.500 0.500 1
Sm2 0.000 0.500 0.500 1
Sm3 0.500 0.000 0.500 1
Te1 0.000 0.000 0.500 1
```

Calculated values
Space-group type = R-3m
Crystal system = trigonal

=====

One value per record, in order, for total magnetic moment: 0.00 0.00 0.00 0.00 0.00 0.00 Bohr magnetons per cell.
One value per record, in order, for energy relative to the elements, uncorrected: -1.967 -1.835 -1.935 -1.825 -1.066 -1.439 eV/atom.
One value per record, in order, for total energy: -73.0 -64.7 -84.9 -64.7 -71.1 -75.9 eV for the cell shown.